Material: Sm3Sc2Bi3
Method: DFT, PBE
State: optimized geometry

Properties
- DFT formation energy (eV/atom) = -0.697
- symmetry = P6_3/mcm

```
16
Lattice="-2.9255 4.0453 3.8555 3.5401 -4.3117 7.2103 4.5169 6.9259 -3.8395" Properties=species:S:1:pos:R:3 pbc="T T T"
Sm 1.9424 -2.2453 6.4097
Sm -1.3278 1.9789 4.6560
Sm 2.6802 6.2424 -1.9360
Sm 3.8912 5.0084 5.4375
Sm -1.0888 4.7288 1.9520
Sm 1.2402 1.6510 1.7887
Sc 3.8657 -0.5659 3.5270
Sc 2.7285 5.2026 1.7715
Sc 4.1913 3.1800 -0.1562
Sc 2.4029 1.4568 5.4548
Bi 0.6736 -0.6999 3.8255
Bi -0.0591 0.4335 7.2402
Bi 1.0613 3.7601 -0.5600
Bi 1.0036 4.0715 4.2294
Bi 4.1279 2.5879 2.9968
Bi 0.5301 7.2110 0.5760
```



Material: Sm8ScBi6
Method: DFT, PBE
State: optimized geometry

Properties
- DFT formation energy (eV/atom) = -0.540
- symmetry = R-3

```
15
Lattice="-5.1184 4.5857 3.5884 -7.1162 0.9099 -2.9385 -7.2784 -5.9250 5.5647" Properties=species:S:1:pos:R:3 pbc="T T T"
Bi -7.9738 3.4723 3.6018
Bi -12.4501 -1.1243 6.0963
Bi -8.3501 -3.0593 5.7431
Bi -7.0629 0.6948 0.1183
Bi -11.1629 2.6298 0.4714
Bi -11.5392 -3.9018 2.6128
Sm -8.5733 -2.8388 2.6195
Sm -12.5756 -0.9580 2.9525
Sm -15.4322 -2.2550 5.9936
Sm -10.0389 -0.3013 0.2028
Sm -9.4742 -0.1282 6.0118
Sm -6.9374 0.5285 3.2621
Sm -10.9397 2.4093 3.5951
Sm -4.0808 1.8256 0.2210
Sc 0.0000 0.0000 0.0000
```